Computed, not measured: TaH3Pt after structural relaxation at the PBEsol level of DFT.

Cell and atoms, written as CIF:
```
data_TaH3Pt
_symmetry_space_group_name_H-M 'P 1'
_symmetry_Int_Tables_number 1
_symmetry_space_group_name_Hall 'P 1'
_cell_length_a 3.477
_cell_length_b 3.477
_cell_length_c 3.477
_cell_angle_alpha 90.00
_cell_angle_beta 90.00
_cell_angle_gamma 90.00
loop_
_atom_site_label
_atom_site_type_symbol
_atom_site_fract_x
_atom_site_fract_y
_atom_site_fract_z
H1 H 0.000 0.500 0.000
H2 H 0.000 0.000 0.500
H3 H 0.500 0.000 0.000
Pt1 Pt 0.000 0.000 0.000
Ta1 Ta 0.500 0.500 0.500
```

Output
Raw total energy ... -5.668 eV/atom
DOS at the Fermi energy ... 2.351 states/eV/f.u.
Space-group type ... Pm-3m